1.
First-principles (PBE) data for ScUGaOs after structural relaxation, as listed in Alexandria.

Cell and atoms, written as CIF:
```
data_ScUGaOs
_chemical_formula_sum 'Sc1 U1 Ga1 Os1'
_symmetry_space_group_name_H-M 'P 1'
_symmetry_Int_Tables_number 1
_cell_length_a 4.683
_cell_length_b 4.683
_cell_length_c 4.683
_cell_angle_alpha 60.00
_cell_angle_beta 60.00
_cell_angle_gamma 60.00
loop_
_symmetry_equiv_pos_as_xyz
'x,y,z'
loop_
_atom_site_label
_atom_site_fract_x
_atom_site_fract_y
_atom_site_fract_z
Sc1 0.000 0.000 0.000
U1 0.750 0.750 0.750
Ga1 0.250 0.250 0.250
Os1 0.500 0.500 0.500
```

formation energy = -0.1462 eV per atom
magnetization = 2.00 μB per cell
DFT total energy = -32.46 eV per cell
calculated density = 12.4 Mg/m³



2.
First-principles (PBE) data for BaBrN2F after structural relaxation, as listed in Alexandria.

Cell and atoms, written as CIF:
```
data_BaBrN2F
_chemical_formula_sum 'Ba1 Br1 N2 F1'
_symmetry_space_group_name_H-M 'P 1'
_symmetry_Int_Tables_number 1
_cell_length_a 4.015
_cell_length_b 4.015
_cell_length_c 5.220
_cell_angle_alpha 90.00
_cell_angle_beta 90.00
_cell_angle_gamma 90.00
loop_
_symmetry_equiv_pos_as_xyz
'x,y,z'
loop_
_atom_site_label
_atom_site_fract_x
_atom_site_fract_y
_atom_site_fract_z
Ba1 0.000 0.000 0.000
Br1 0.500 0.500 0.500
N1 0.000 0.500 0.500
N2 0.500 0.000 0.500
F1 0.500 0.500 0.000
```

magnetization = 0.81 μB per cell
DFT total energy = -21.01 eV per cell
relative energy among the computed polymorphs = 0 meV/atom
calculated density = 5.2 Mg/m³



3.
First-principles (PBE) data for TiCrAsP2 after structural relaxation, as listed in Alexandria.

Cell and atoms, written as CIF:
```
data_TiCrAsP2
_chemical_formula_sum 'Ti1 Cr1 As1 P2'
_symmetry_space_group_name_H-M 'P 1'
_symmetry_Int_Tables_number 1
_cell_length_a 4.293
_cell_length_b 4.293
_cell_length_c 5.028
_cell_angle_alpha 90.00
_cell_angle_beta 90.00
_cell_angle_gamma 90.00
loop_
_symmetry_equiv_pos_as_xyz
'x,y,z'
loop_
_atom_site_label
_atom_site_fract_x
_atom_site_fract_y
_atom_site_fract_z
Ti1 0.000 0.000 0.000
Cr1 0.500 0.500 0.500
As1 0.500 0.500 0.000
P1 0.000 0.500 0.500
P2 0.500 0.000 0.500
```

formation energy = 0.4034 eV per atom
magnetization = 2.26 μB per cell
DFT total energy = -30.97 eV per cell
calculated density = 4.2 Mg/m³



4.
First-principles (PBE) data for KBaSCl after structural relaxation, as listed in Alexandria.

Cell and atoms, written as CIF:
```
data_KBaSCl
_chemical_formula_sum 'K1 Ba1 S1 Cl1'
_symmetry_space_group_name_H-M 'P 1'
_symmetry_Int_Tables_number 1
_cell_length_a 5.425
_cell_length_b 5.425
_cell_length_c 5.425
_cell_angle_alpha 60.00
_cell_angle_beta 60.00
_cell_angle_gamma 60.00
loop_
_symmetry_equiv_pos_as_xyz
'x,y,z'
loop_
_atom_site_label
_atom_site_fract_x
_atom_site_fract_y
_atom_site_fract_z
K1 0.000 0.000 0.000
Ba1 0.500 0.500 0.500
S1 0.750 0.750 0.750
Cl1 0.250 0.250 0.250
```

magnetization = 0.00 μB per cell
DFT total energy = -16.32 eV per cell
relative energy among the computed polymorphs = 60 meV/atom
calculated density = 3.6 Mg/m³



5.
First-principles (PBE) data for SnHg6Pb after structural relaxation, as listed in Alexandria.

Cell and atoms, written as CIF:
```
data_SnHg6Pb
_chemical_formula_sum 'Sn1 Hg6 Pb1'
_symmetry_space_group_name_H-M 'P 1'
_symmetry_Int_Tables_number 1
_cell_length_a 4.662
_cell_length_b 4.662
_cell_length_c 9.730
_cell_angle_alpha 90.00
_cell_angle_beta 90.00
_cell_angle_gamma 90.00
loop_
_symmetry_equiv_pos_as_xyz
'x,y,z'
loop_
_atom_site_label
_atom_site_fract_x
_atom_site_fract_y
_atom_site_fract_z
Sn1 0.000 0.000 0.000
Hg1 0.000 0.500 0.244
Hg2 0.000 0.500 0.756
Hg3 0.500 0.000 0.244
Hg4 0.500 0.000 0.756
Hg5 0.500 0.500 0.000
Hg6 0.500 0.500 0.500
Pb1 0.000 0.000 0.500
```

formation energy = 0.0563 eV per atom
magnetization = 0.00 μB per cell
DFT total energy = -9.07 eV per cell
calculated density = 12.0 Mg/m³



6.
First-principles (PBE) data for Tb2ScZn2 after structural relaxation, as listed in Alexandria.

Cell and atoms, written as CIF:
```
data_Tb2ScZn2
_chemical_formula_sum 'Tb2 Sc1 Zn2'
_symmetry_space_group_name_H-M 'P 1'
_symmetry_Int_Tables_number 1
_cell_length_a 5.635
_cell_length_b 5.635
_cell_length_c 5.635
_cell_angle_alpha 131.74
_cell_angle_beta 111.17
_cell_angle_gamma 88.46
loop_
_symmetry_equiv_pos_as_xyz
'x,y,z'
loop_
_atom_site_label
_atom_site_fract_x
_atom_site_fract_y
_atom_site_fract_z
Tb1 0.202 0.202 0.000
Tb2 0.798 0.798 0.000
Sc1 0.500 0.000 0.500
Zn1 0.209 0.500 0.709
Zn2 0.791 0.500 0.291
```

formation energy = -0.2145 eV per atom
magnetization = 0.00 μB per cell
DFT total energy = -19.21 eV per cell
relative energy among the computed polymorphs = 0 meV/atom
calculated density = 6.9 Mg/m³



7.
First-principles (PBE) data for ReAs2Ru after structural relaxation, as listed in Alexandria.

Cell and atoms, written as CIF:
```
data_ReAs2Ru
_chemical_formula_sum 'Re1 As2 Ru1'
_symmetry_space_group_name_H-M 'P 1'
_symmetry_Int_Tables_number 1
_cell_length_a 5.444
_cell_length_b 5.444
_cell_length_c 5.444
_cell_angle_alpha 147.49
_cell_angle_beta 134.26
_cell_angle_gamma 57.23
loop_
_symmetry_equiv_pos_as_xyz
'x,y,z'
loop_
_atom_site_label
_atom_site_fract_x
_atom_site_fract_y
_atom_site_fract_z
Re1 0.000 0.000 0.000
As1 0.497 0.497 0.000
As2 0.774 0.274 0.500
Ru1 0.276 0.776 0.500
```

formation energy = 0.2900 eV per atom
magnetization = 0.00 μB per cell
DFT total energy = -29.86 eV per cell
relative energy among the computed polymorphs = 266 meV/atom
calculated density = 11.8 Mg/m³



8.
First-principles (PBE) data for UPOs after structural relaxation, as listed in Alexandria.

Cell and atoms, written as CIF:
```
data_UPOs
_chemical_formula_sum 'U6 P6 Os6'
_symmetry_space_group_name_H-M 'P 1'
_symmetry_Int_Tables_number 1
_cell_length_a 5.795
_cell_length_b 5.795
_cell_length_c 11.106
_cell_angle_alpha 90.00
_cell_angle_beta 90.00
_cell_angle_gamma 120.00
loop_
_symmetry_equiv_pos_as_xyz
'x,y,z'
loop_
_atom_site_label
_atom_site_fract_x
_atom_site_fract_y
_atom_site_fract_z
U1 0.000 0.000 0.000
U2 0.000 0.000 0.333
U3 0.000 0.000 0.667
U4 0.000 0.500 0.167
U5 0.500 0.000 0.500
U6 0.500 0.500 0.833
P1 0.257 0.628 0.667
P2 0.372 0.628 0.333
P3 0.372 0.743 0.000
P4 0.628 0.257 0.000
P5 0.628 0.372 0.333
P6 0.743 0.372 0.667
Os1 0.000 0.500 0.482
Os2 0.000 0.500 0.851
Os3 0.500 0.000 0.185
Os4 0.500 0.000 0.815
Os5 0.500 0.500 0.149
Os6 0.500 0.500 0.518
```

formation energy = -0.1820 eV per atom
magnetization = 14.28 μB per cell
DFT total energy = -170.84 eV per cell
calculated density = 14.2 Mg/m³



Question: The highest magnetization belongs to which entry?
Answer: UPOs



Question: Which formula does entry 6 have?
Answer: Tb2ScZn2



Question: Which of these has the highest DFT total energy?
Answer: SnHg6Pb